This record from Alexandria via LeMat-Bulk describes BeCuAsBr2 after structural relaxation. The functional is GGA-PBE.

Calculated values
Energy relative to the elements, uncorrected (eV/atom): 0.789
Calculated density (Mg/m³): 4.66

Cell lengths 5.0653, 4.2694, 5.0653 Å; angles 90.00, 90.00, 90.00 degrees
Fractional coordinates of all 5 atoms:
As1 0.5000 0.5000 0.5000
Be1 0.0000 0.5000 0.0000
Br1 0.5000 0.0000 0.0000
Br2 0.0000 0.0000 0.5000
Cu1 0.0000 0.0000 0.0000

***

This record from Alexandria via LeMat-Bulk describes BeFeAs2Br after structural relaxation. The functional is GGA-PBE.

Calculated values
Energy relative to the elements, uncorrected (eV/atom): 0.755
Calculated density (Mg/m³): 4.67

Cell lengths 4.4388, 4.4388, 5.3185 Å; angles 90.00, 90.00, 90.00 degrees
Fractional coordinates of all 5 atoms:
As1 0.5000 0.0000 0.0000
Br1 0.0000 0.0000 0.5000
As2 0.0000 0.5000 0.0000
Be1 0.5000 0.5000 0.5000
Fe1 0.0000 0.0000 0.0000

***

This record from Alexandria via LeMat-Bulk describes BeFeAs2Br after structural relaxation. The functional is GGA-PBE.

Calculated values
Energy relative to the elements, uncorrected (eV/atom): 0.771
Calculated density (Mg/m³): 4.98

Cell lengths 4.4072, 4.4072, 5.0619 Å; angles 90.00, 90.00, 90.00 degrees
Fractional coordinates of all 5 atoms:
As1 0.5000 0.0000 0.0000
Be1 0.0000 0.0000 0.0000
Fe1 0.5000 0.5000 0.5000
Br1 0.0000 0.0000 0.5000
As2 0.0000 0.5000 0.0000

***

This record from Alexandria via LeMat-Bulk describes BeAs2HBr after structural relaxation. The functional is GGA-PBE.

Calculated values
Calculated density (Mg/m³): 3.89
VASP energy (eV/atom): -2.77

Cell lengths 4.4139, 4.4139, 5.2549 Å; angles 90.00, 90.00, 90.00 degrees
Fractional coordinates of all 5 atoms:
As1 0.0000 0.5000 0.0000
As2 0.5000 0.0000 0.0000
Be1 0.0000 0.0000 0.0000
Br1 0.0000 0.0000 0.5000
H1 0.5000 0.5000 0.5000

***

This record from Alexandria via LeMat-Bulk describes BeAs2HBr after structural relaxation. The functional is GGA-PBE.

Calculated values
Calculated density (Mg/m³): 3.98
VASP energy (eV/atom): -2.90

Cell lengths 3.7476, 3.7476, 7.1302 Å; angles 90.00, 90.00, 90.00 degrees
Fractional coordinates of all 5 atoms:
As1 0.0000 0.5000 0.0000
As2 0.5000 0.0000 0.0000
Br1 0.0000 0.0000 0.5000
H1 0.0000 0.0000 0.0000
Be1 0.5000 0.5000 0.5000

***

This record from Alexandria via LeMat-Bulk describes HfBeAs2Br after structural relaxation. The functional is GGA-PBE.

Calculated values
Energy relative to the elements, uncorrected (eV/atom): 0.491
Calculated density (Mg/m³): 4.94

Cell lengths 5.1909, 5.1909, 5.2046 Å; angles 90.00, 90.00, 90.00 degrees
Fractional coordinates of all 5 atoms:
As1 0.5000 0.0000 0.0000
Br1 0.0000 0.0000 0.5000
Be1 0.5000 0.5000 0.5000
As2 0.0000 0.5000 0.0000
Hf1 0.0000 0.0000 0.0000

***

no.,volume (Å³ per cell),DOS(E_F) (states/eV/cell)
1,110,3.6
2,105,4.2
3,98,6.3
4,102,4.2
5,100,1.5
6,140,5.4